1.
DFT (PBE+U) results for an optimized crystal structure of TlTc2MoO8.

Properties
- uncorrected energy (eV/atom) = -7.163
- SG = P-3, No. 147
- M_tot (μB per formula unit) = 1.0

Lattice parameters (Å, degrees): 5.851 5.851 7.663 90.00 90.00 120.00
Sites, in units of the cell vectors:
O 0.332 0.168 0.337
Tc 0.333 0.667 0.741
O 0.164 0.332 0.663
Mo 0.000 0.000 0.500
O 0.667 0.333 0.031
Tl 0.000 0.000 0.000
O 0.832 0.164 0.337
O 0.333 0.667 0.969
Tc 0.667 0.333 0.259
O 0.668 0.832 0.663
O 0.836 0.668 0.337
O 0.168 0.836 0.663

***

2.
DFT (PBE+U) results for an optimized crystal structure of SnMoOF2.

Properties
- SG = P4/mmm, No. 123
- M_tot (μB per formula unit) = 5.0
- E above lowest polymorph (eV per atom) = 0.351

Lattice parameters (Å, degrees): 4.523 4.155 4.523 90.00 90.00 90.00
Sites, in units of the cell vectors:
Mo 0.500 0.500 0.500
F 0.500 0.000 0.000
Sn 0.000 0.000 0.000
F 0.000 0.000 0.500
O 0.000 0.500 0.000

***

The lowest M_tot belongs to which entry?
TlTc2MoO8

***

Please write out number 2 again, unchanged.
DFT (PBE+U) results for an optimized crystal structure of SnMoOF2.

Properties
- SG = P4/mmm, No. 123
- M_tot (μB per formula unit) = 5.0
- E above lowest polymorph (eV per atom) = 0.351

Lattice parameters (Å, degrees): 4.523 4.155 4.523 90.00 90.00 90.00
Sites, in units of the cell vectors:
Mo 0.500 0.500 0.500
F 0.500 0.000 0.000
Sn 0.000 0.000 0.000
F 0.000 0.000 0.500
O 0.000 0.500 0.000

***

Among the records above, which one has the lowest M_tot?
TlTc2MoO8